Compound: Rb2AuBr
Source: Alexandria
Functional: PBEsol
Structure: optimized geometry

Summary:
SG: Fm-3m (225)
Energy relative to the elements, uncorrected, eV per formula unit: -3.52

extended XYZ file:
```
4
Lattice="5.741 0.000 0.000 2.871 4.972 0.000 2.871 1.657 4.688" Properties=species:S:1:pos:R:3 pbc="T T T"
Rb 2.871 1.657 1.172
Rb 8.612 4.972 3.516
Au 5.741 3.315 2.344
Br 0.000 0.000 0.000
```

Compound: RbAuBr3
Source: Alexandria
Functional: PBEsol
Structure: optimized geometry

Summary:
SG: Pm-3m (221)
Energy relative to the elements, uncorrected, eV per formula unit: -4.00

extended XYZ file:
```
5
Lattice="5.304 0.000 0.000 0.000 5.304 0.000 0.000 0.000 5.304" Properties=species:S:1:pos:R:3 pbc="T T T"
Br 0.000 0.000 2.652
Br 0.000 2.652 0.000
Br 2.652 0.000 0.000
Rb 2.652 2.652 2.652
Au 0.000 0.000 0.000
```

Compound: RbSbAu2Br
Source: Alexandria
Functional: PBEsol
Structure: optimized geometry

Summary:
SG: P4/mmm (123)
Energy relative to the elements, uncorrected, eV per formula unit: -1.54

extended XYZ file:
```
5
Lattice="-4.216 2.125 -2.175 1.471 -1.828 -4.638 -3.060 -5.034 1.013" Properties=species:S:1:pos:R:3 pbc="T T T"
Br -1.530 -2.517 0.506
Sb 0.000 0.000 0.000
Rb -2.902 -2.368 -2.900
Au -2.108 1.063 -1.087
Au 0.736 -0.914 -2.319
```

Compound: RbAuSeBr2
Source: Alexandria
Functional: PBEsol
Structure: optimized geometry

Summary:
SG: P4/mmm (123)
Energy relative to the elements, uncorrected, eV per formula unit: 3.96

extended XYZ file:
```
5
Lattice="6.144 0.000 0.000 0.000 6.144 0.000 0.000 0.000 6.084" Properties=species:S:1:pos:R:3 pbc="T T T"
Br 0.000 3.072 0.000
Se 0.000 0.000 3.042
Rb 0.000 0.000 0.000
Br 3.072 0.000 0.000
Au 3.072 3.072 3.042
```